FeWNO2: optimized geometry, GGA+U.

abc: 3.819 3.819 3.549
angles: 90.00 90.00 90.00
Fractional coordinates of all 5 atoms:
Fe1 0.000 0.000 0.000
W1 0.500 0.500 0.500
N1 0.000 0.000 0.500
O1 0.000 0.500 0.000
O2 0.500 0.000 0.000

Properties
* calculated volume: 10.4 Å³ per atom
* energy: -5.66 eV per atom
* total magnetic moment: 0.064 μB/cell
* crystal system: tetragonal